Dy4TlAg | PBE-GGA | relaxed

Cell and atoms, written as POSCAR:
```
Dy4TlAg
1.0
5.038 0.000 0.000
0.000 5.038 0.000
0.000 0.000 7.398
Dy Tl Ag
4 1 1
direct
0.000 0.500 0.238
0.000 0.500 0.762
0.500 0.000 0.238
0.500 0.000 0.762
0.000 0.000 0.500
0.500 0.500 0.000
```

Calculated values
N(E_F) = 1.2352 states/eV/atom
ρ = 8.51 Mg/m³
Magnetic moment = 0.0 μB/f.u.
Calculated volume = 31.298 Å³ per atom
Total energy = -3.93 eV per atom
Energy above the lowest structure with this stoichiometry = 212 meV per atom


Rb2NaNpBr8 | PBE-GGA | relaxed

Cell and atoms, written as POSCAR:
```
Rb2NaNpBr8
1.0
7.126 0.000 0.000
-0.661 7.491 0.000
-0.004 -0.021 10.191
Rb Na Np Br
2 1 1 8
direct
0.002 0.001 0.235
0.998 0.999 0.765
0.500 0.500 0.000
0.500 0.500 0.500
0.255 0.202 0.999
0.274 0.614 0.312
0.278 0.616 0.690
0.296 0.177 0.501
0.704 0.823 0.499
0.722 0.384 0.310
0.726 0.386 0.688
0.745 0.798 0.001
```

Calculated values
N(E_F) = 1.0189 states/eV/atom
ρ = 3.27 Mg/m³
Magnetic moment = 1.9 μB/f.u.
Calculated volume = 45.335 Å³ per atom
Total energy = -3.80 eV per atom


CsRb2RhF6 | PBE-GGA | relaxed

Cell and atoms, written as POSCAR:
```
CsRb2RhF6
1.0
0.000 4.770 4.770
4.770 0.000 4.770
4.770 4.770 0.000
Cs Rb Rh F
1 2 1 6
direct
0.000 0.000 0.000
0.250 0.250 0.250
0.750 0.750 0.750
0.500 0.500 0.500
0.289 0.289 0.711
0.289 0.711 0.289
0.289 0.711 0.711
0.711 0.289 0.289
0.711 0.289 0.711
0.711 0.711 0.289
```

Calculated values
N(E_F) = 0.0000 states/eV/atom
ρ = 3.98 Mg/m³
Magnetic moment = 0.0 μB/f.u.
Calculated volume = 21.703 Å³ per atom
Total energy = -4.45 eV per atom


Cs2BaVGa | PBE-GGA | relaxed

Cell and atoms, written as POSCAR:
```
Cs2BaVGa
1.0
6.220 0.000 0.000
0.000 6.220 0.000
0.000 0.000 5.955
Cs Ba V Ga
2 1 1 1
direct
0.000 0.500 0.000
0.500 0.000 0.000
0.000 0.000 0.500
0.000 0.000 0.000
0.500 0.500 0.500
```

Calculated values
N(E_F) = 1.6152 states/eV/atom
ρ = 3.78 Mg/m³
Magnetic moment = 2.6 μB/f.u.
Calculated volume = 46.079 Å³ per atom
Total energy = -2.10 eV per atom


LiFeAs2 | PBE-GGA | relaxed

Cell and atoms, written as POSCAR:
```
LiFeAs2
1.0
3.500 0.000 0.000
0.000 3.500 0.000
0.000 0.000 4.931
Li Fe As
1 1 2
direct
0.000 0.000 0.000
0.500 0.500 0.692
0.000 0.000 0.510
0.500 0.500 0.180
```

Calculated values
N(E_F) = 0.5137 states/eV/atom
ρ = 5.85 Mg/m³
Magnetic moment = 2.4 μB/f.u.
Calculated volume = 15.097 Å³ per atom
Total energy = -4.96 eV per atom
Energy above the lowest structure with this stoichiometry = 212 meV per atom


CaFeMo2 | PBE-GGA | relaxed

Cell and atoms, written as POSCAR:
```
CaFeMo2
1.0
-2.405 2.405 8.169
2.405 -2.405 8.169
2.405 2.405 -8.169
Ca Fe Mo
2 2 4
direct
0.375 0.625 0.750
0.625 0.375 0.250
0.125 0.875 0.250
0.875 0.125 0.750
0.000 0.000 0.000
0.000 0.000 0.500
0.000 0.500 0.000
0.500 0.000 0.500
```

Calculated values
N(E_F) = 1.4282 states/eV/atom
ρ = 5.06 Mg/m³
Magnetic moment = 0.0 μB/f.u.
Calculated volume = 23.632 Å³ per atom
Total energy = -6.85 eV per atom
Energy above the lowest structure with this stoichiometry = 658 meV per atom


NaScS3 | PBE-GGA | relaxed

Cell and atoms, written as POSCAR:
```
NaScS3
1.0
4.967 0.000 0.000
0.000 4.967 0.000
0.000 0.000 4.967
Na Sc S
1 1 3
direct
0.000 0.000 0.000
0.500 0.500 0.500
0.000 0.500 0.500
0.500 0.000 0.500
0.500 0.500 0.000
```

Calculated values
N(E_F) = 0.9768 states/eV/atom
ρ = 2.22 Mg/m³
Magnetic moment = 0.9 μB/f.u.
Calculated volume = 24.501 Å³ per atom
Total energy = -4.88 eV per atom
Energy above the lowest structure with this stoichiometry = 0 meV per atom


TbPuAlGe | PBE-GGA | relaxed

Cell and atoms, written as POSCAR:
```
TbPuAlGe
1.0
0.000 3.584 3.584
3.584 0.000 3.584
3.584 3.584 0.000
Tb Pu Al Ge
1 1 1 1
direct
0.000 0.000 0.000
0.500 0.500 0.500
0.750 0.750 0.750
0.250 0.250 0.250
```

Calculated values
N(E_F) = 2.0915 states/eV/atom
ρ = 9.06 Mg/m³
Magnetic moment = 5.6 μB/f.u.
Calculated volume = 23.018 Å³ per atom
Total energy = -7.17 eV per atom


AlCr2TcH | PBE-GGA | relaxed

Cell and atoms, written as POSCAR:
```
AlCr2TcH
1.0
3.771 0.000 0.000
0.000 3.771 0.000
0.000 0.000 3.897
Al Cr Tc H
1 2 1 1
direct
0.000 0.000 0.000
0.000 0.500 0.500
0.500 0.000 0.500
0.500 0.500 0.000
0.500 0.500 0.500
```

Calculated values
N(E_F) = 0.8457 states/eV/atom
ρ = 6.89 Mg/m³
Magnetic moment = 1.9 μB/f.u.
Calculated volume = 11.083 Å³ per atom
Total energy = -7.31 eV per atom


AcNdLuSn | PBE-GGA | relaxed

Cell and atoms, written as POSCAR:
```
AcNdLuSn
1.0
0.000 3.951 3.951
3.951 0.000 3.951
3.951 3.951 0.000
Ac Nd Lu Sn
1 1 1 1
direct
0.000 0.000 0.000
0.750 0.750 0.750
0.250 0.250 0.250
0.500 0.500 0.500
```

Calculated values
N(E_F) = 1.6536 states/eV/atom
ρ = 8.95 Mg/m³
Magnetic moment = 0.0 μB/f.u.
Calculated volume = 30.828 Å³ per atom
Total energy = -4.50 eV per atom


PrSm2F | PBE-GGA | relaxed

Cell and atoms, written as POSCAR:
```
PrSm2F
1.0
1.858 1.073 9.537
-1.858 1.073 9.537
0.000 -2.146 9.537
Pr Sm F
1 2 1
direct
0.000 0.000 0.000
0.118 0.118 0.118
0.882 0.882 0.882
0.500 0.500 0.500
```

Calculated values
N(E_F) = 1.5963 states/eV/atom
ρ = 6.70 Mg/m³
Magnetic moment = 0.0 μB/f.u.
Calculated volume = 28.520 Å³ per atom
Total energy = -4.95 eV per atom


Mg2MnNbIr | PBE-GGA | relaxed

Cell and atoms, written as POSCAR:
```
Mg2MnNbIr
1.0
4.592 0.000 0.000
0.000 4.592 0.000
0.000 0.000 4.456
Mg Mn Nb Ir
2 1 1 1
direct
0.000 0.500 0.000
0.500 0.000 0.000
0.000 0.000 0.000
0.500 0.500 0.500
0.000 0.000 0.500
```

Calculated values
N(E_F) = 1.4726 states/eV/atom
ρ = 6.87 Mg/m³
Magnetic moment = 1.8 μB/f.u.
Calculated volume = 18.792 Å³ per atom
Total energy = -5.27 eV per atom


Mn3GePb | PBE-GGA | relaxed

Cell and atoms, written as POSCAR:
```
Mn3GePb
1.0
5.093 0.000 0.000
0.000 5.093 0.000
0.000 0.000 5.093
Mn Ge Pb
3 1 1
direct
0.000 0.000 0.500
0.000 0.500 0.000
0.500 0.000 0.000
0.500 0.500 0.500
0.000 0.000 0.000
```

Calculated values
N(E_F) = 0.9752 states/eV/atom
ρ = 5.59 Mg/m³
Magnetic moment = 12.0 μB/f.u.
Calculated volume = 26.415 Å³ per atom
Total energy = -5.87 eV per atom
Energy above the lowest structure with this stoichiometry = 777 meV per atom


RuPtS2N | PBE-GGA | relaxed

Cell and atoms, written as POSCAR:
```
RuPtS2N
1.0
4.748 0.000 0.000
0.000 4.748 0.000
0.000 0.000 3.598
Ru Pt S N
1 1 2 1
direct
0.000 0.000 0.000
0.500 0.500 0.500
0.000 0.500 0.000
0.500 0.000 0.000
0.000 0.000 0.500
```

Calculated values
N(E_F) = 0.6679 states/eV/atom
ρ = 7.66 Mg/m³
Magnetic moment = 0.0 μB/f.u.
Calculated volume = 16.224 Å³ per atom
Total energy = -5.62 eV per atom
Energy above the lowest structure with this stoichiometry = 0 meV per atom


TiFeMo2I | PBE-GGA | relaxed

Cell and atoms, written as POSCAR:
```
TiFeMo2I
1.0
4.470 0.000 0.000
0.000 4.470 0.000
0.000 0.000 4.934
Ti Fe Mo I
1 1 2 1
direct
0.000 0.000 0.000
0.500 0.500 0.500
0.000 0.500 0.500
0.500 0.000 0.500
0.500 0.500 0.000
```

Calculated values
N(E_F) = 1.4677 states/eV/atom
ρ = 7.12 Mg/m³
Magnetic moment = 0.0 μB/f.u.
Calculated volume = 19.715 Å³ per atom
Total energy = -6.57 eV per atom


Si2WSe8 | PBE-GGA | relaxed

Cell and atoms, written as POSCAR:
```
Si2WSe8
1.0
4.908 -5.410 0.000
4.908 5.410 0.000
-0.505 0.000 5.796
Si W Se
2 1 8
direct
0.216 0.216 0.454
0.784 0.784 0.546
0.000 0.000 0.000
0.074 0.747 0.706
0.239 0.239 0.848
0.253 0.926 0.294
0.431 0.431 0.314
0.569 0.569 0.686
0.747 0.074 0.706
0.761 0.761 0.152
0.926 0.253 0.294
```

Calculated values
N(E_F) = 0.6234 states/eV/atom
ρ = 4.70 Mg/m³
Magnetic moment = 0.9 μB/f.u.
Calculated volume = 27.980 Å³ per atom
Total energy = -4.88 eV per atom


AgHg5S5 | PBE-GGA | relaxed

Cell and atoms, written as POSCAR:
```
AgHg5S5
1.0
6.367 -2.882 0.000
6.367 2.882 0.000
-3.012 0.000 7.219
Ag Hg S
1 5 5
direct
0.000 0.000 0.000
0.000 0.000 0.500
0.314 0.314 0.680
0.356 0.356 0.177
0.644 0.644 0.823
0.686 0.686 0.320
0.132 0.132 0.813
0.203 0.203 0.323
0.500 0.500 0.000
0.797 0.797 0.677
0.868 0.868 0.187
```

Calculated values
N(E_F) = 0.2846 states/eV/atom
ρ = 7.97 Mg/m³
Magnetic moment = 0.0 μB/f.u.
Calculated volume = 24.080 Å³ per atom
Total energy = -2.22 eV per atom


Pa2AlGa4 | PBE-GGA | relaxed

Cell and atoms, written as POSCAR:
```
Pa2AlGa4
1.0
0.000 4.980 5.162
2.822 0.000 5.162
2.822 4.980 0.000
Pa Al Ga
2 1 4
direct
0.132 0.132 0.868
0.868 0.868 0.132
0.500 0.500 0.500
0.000 0.000 0.500
0.250 0.250 0.250
0.500 0.500 0.000
0.750 0.750 0.750
```

Calculated values
N(E_F) = 1.2746 states/eV/atom
ρ = 8.79 Mg/m³
Magnetic moment = 0.0 μB/f.u.
Calculated volume = 20.729 Å³ per atom
Total energy = -5.10 eV per atom
Energy above the lowest structure with this stoichiometry = 0 meV per atom


BeSiTeI2 | PBE-GGA | relaxed

Cell and atoms, written as POSCAR:
```
BeSiTeI2
1.0
5.108 0.000 0.000
0.000 5.108 0.000
0.000 0.000 5.264
Be Si Te I
1 1 1 2
direct
0.000 0.000 0.000
0.500 0.500 0.500
0.000 0.000 0.500
0.000 0.500 0.000
0.500 0.000 0.000
```

Calculated values
N(E_F) = 0.7600 states/eV/atom
ρ = 5.06 Mg/m³
Magnetic moment = 0.0 μB/f.u.
Calculated volume = 27.468 Å³ per atom
Total energy = -2.52 eV per atom
Energy above the lowest structure with this stoichiometry = 0 meV per atom


Ho3In3Ru2Rh | PBE-GGA | relaxed

Cell and atoms, written as POSCAR:
```
Ho3In3Ru2Rh
1.0
7.468 0.000 0.000
-3.734 6.467 0.000
0.000 0.000 3.946
Ho In Ru Rh
3 3 2 1
direct
0.000 0.593 0.000
0.407 0.407 0.000
0.593 0.000 0.000
0.000 0.259 0.500
0.259 0.000 0.500
0.741 0.741 0.500
0.333 0.667 0.500
0.667 0.333 0.500
0.000 0.000 0.000
```

Calculated values
N(E_F) = 0.9669 states/eV/atom
ρ = 9.97 Mg/m³
Magnetic moment = 0.0 μB/f.u.
Calculated volume = 21.172 Å³ per atom
Total energy = -5.81 eV per atom


LiGeHIr2 | PBE-GGA | relaxed

Cell and atoms, written as POSCAR:
```
LiGeHIr2
1.0
3.993 0.000 0.000
0.000 3.993 0.000
0.000 0.000 3.528
Li Ge H Ir
1 1 1 2
direct
0.000 0.000 0.000
0.500 0.500 0.000
0.000 0.000 0.500
0.000 0.500 0.500
0.500 0.000 0.500
```

Calculated values
N(E_F) = 0.2571 states/eV/atom
ρ = 13.73 Mg/m³
Magnetic moment = 0.0 μB/f.u.
Calculated volume = 11.248 Å³ per atom
Total energy = -5.77 eV per atom


PrErNiRh | PBE-GGA | relaxed

Cell and atoms, written as POSCAR:
```
PrErNiRh
1.0
0.000 3.470 3.470
3.470 0.000 3.470
3.470 3.470 0.000
Pr Er Ni Rh
1 1 1 1
direct
0.000 0.000 0.000
0.500 0.500 0.500
0.750 0.750 0.750
0.250 0.250 0.250
```

Calculated values
N(E_F) = 0.7376 states/eV/atom
ρ = 9.33 Mg/m³
Magnetic moment = 0.0 μB/f.u.
Calculated volume = 20.894 Å³ per atom
Total energy = -6.13 eV per atom
Energy above the lowest structure with this stoichiometry = 65 meV per atom


LiSiSe2 | PBE-GGA | relaxed

Cell and atoms, written as POSCAR:
```
LiSiSe2
1.0
0.000 3.382 3.382
3.382 0.000 3.382
3.382 3.382 0.000
Li Si Se
1 1 2
direct
0.000 0.000 0.000
0.250 0.250 0.250
0.500 0.500 0.500
0.750 0.750 0.750
```

Calculated values
N(E_F) = 0.2787 states/eV/atom
ρ = 4.14 Mg/m³
Magnetic moment = 0.0 μB/f.u.
Calculated volume = 19.338 Å³ per atom
Total energy = -3.33 eV per atom


Na3Tm3PbO8 | PBE-GGA | relaxed

Cell and atoms, written as POSCAR:
```
Na3Tm3PbO8
1.0
3.371 1.946 5.609
-3.371 1.946 5.609
0.000 -3.892 5.609
Na Tm Pb O
3 3 1 8
direct
0.000 0.500 0.500
0.500 0.000 0.500
0.500 0.500 0.000
0.000 0.000 0.500
0.000 0.500 0.000
0.500 0.000 0.000
0.500 0.500 0.500
0.234 0.234 0.234
0.243 0.731 0.731
0.269 0.269 0.757
0.269 0.757 0.269
0.731 0.243 0.731
0.731 0.731 0.243
0.757 0.269 0.269
0.766 0.766 0.766
```

Calculated values
N(E_F) = 0.0000 states/eV/atom
ρ = 6.85 Mg/m³
Magnetic moment = 0.0 μB/f.u.
Calculated volume = 14.717 Å³ per atom
Total energy = -6.50 eV per atom


CaAcIn2 | PBE-GGA | relaxed

Cell and atoms, written as POSCAR:
```
CaAcIn2
1.0
3.985 0.000 0.000
0.000 3.985 0.000
0.000 0.000 7.974
Ca Ac In
1 1 2
direct
0.000 0.000 0.000
0.000 0.000 0.500
0.500 0.500 0.226
0.500 0.500 0.774
```

Calculated values
N(E_F) = 0.6976 states/eV/atom
ρ = 6.51 Mg/m³
Magnetic moment = 0.0 μB/f.u.
Calculated volume = 31.654 Å³ per atom
Total energy = -3.35 eV per atom


Pu8PSe4S3 | PBE-GGA | relaxed

Cell and atoms, written as POSCAR:
```
Pu8PSe4S3
1.0
4.059 2.344 6.672
-4.059 2.344 6.672
0.000 -4.687 6.672
Pu P Se S
8 1 4 3
direct
0.245 0.245 0.245
0.246 0.745 0.745
0.255 0.255 0.754
0.255 0.754 0.255
0.745 0.246 0.745
0.745 0.745 0.246
0.754 0.255 0.255
0.755 0.755 0.755
0.500 0.500 0.500
0.000 0.000 0.000
0.000 0.500 0.500
0.500 0.000 0.500
0.500 0.500 0.000
0.000 0.000 0.500
0.000 0.500 0.000
0.500 0.000 0.000
```

Calculated values
N(E_F) = 4.4721 states/eV/atom
ρ = 10.44 Mg/m³
Magnetic moment = 45.0 μB/f.u.
Calculated volume = 23.803 Å³ per atom
Total energy = -10.73 eV per atom